The following is a PBE calculation of a geometry-optimized TbPr2Nd3 structure, from Alexandria via LeMat-Bulk.

Results
- ρ (g cm⁻³) = 6.787
- energy (eV for the cell shown) = -54.1
- V (Å³/atom) = 35.6
- DOS(E_F) (states/eV per atom) = 1.746
- energy above the lowest structure with this stoichiometry (eV/atom) = 0.184
- size of the total moment (Bohr magnetons per cell) = 0.00
- energy of formation from the pure elements (eV/atom) = 0.24

```
TbPr2Nd3
1.0
-1.951 -2.621 1.141
-1.298 -1.855 -6.479
14.469 -10.698 0.164
Tb Pr Nd
2 4 6
direct
0.500 0.500 0.000
0.000 0.000 0.500
0.000 0.265 0.348
0.500 0.765 0.152
0.500 0.235 0.848
0.000 0.735 0.652
0.500 0.500 0.500
0.500 0.742 0.823
0.000 0.000 0.000
0.000 0.758 0.323
0.000 0.242 0.677
0.500 0.258 0.177
```